Material: CdTc2HRh
Method: DFT, GGA-PBE
State: optimized geometry

Properties
**Final energy**: -4.843 eV/atom
**DOS at the Fermi energy**: 1.192 states/eV/atom

Geometry as CIF:
```
data_CdTc2HRh
_chemical_formula_sum 'Cd1 Tc2 H1 Rh1'
_space_group_name_H-M_alt 'P 4/m m m'
_space_group_IT_number 123
_space_group_name_Hall '-P 4 2'
_cell_length_a 5.087
_cell_length_b 5.087
_cell_length_c 2.974
_cell_angle_alpha 90.00
_cell_angle_beta 90.00
_cell_angle_gamma 90.00
loop_
_atom_site_label
_atom_site_fract_x
_atom_site_fract_y
_atom_site_fract_z
Cd1 0.000 0.000 0.000
Tc1 0.000 0.500 0.000
H1 0.000 0.000 0.500
Rh1 0.500 0.500 0.500
```